# 1
Ca4LaCu2 | PBE-GGA | optimized geometry

The structure belongs to space group I4/mmm (No. 139); the cell edges are 5.806, 5.806 and 14.330 Å and the angles 90.00°, 90.00° and 90.00°. The distinct sites, in fractional coordinates, are Ca at (0.000, 0.000, 0.229), Ca at (0.000, 0.500, 0.000), La at (0.000, 0.000, 0.000) and Cu at (0.000, 0.000, 0.419).

The value obtained for the formation energy is 0.62 eV per atom. The calculation puts the size of the total moment at 0.0 μB/cell.

# 2
Ca2La2Cu | PBE-GGA | optimized geometry

The structure belongs to space group P4/mbm (No. 127); the cell edges are 7.586, 7.586 and 6.143 Å and the angles 90.00°, 90.00° and 90.00°. The distinct sites, in fractional coordinates, are Ca at (0.168, 0.332, 0.000), La at (0.149, 0.649, 0.500) and Cu at (0.000, 0.000, 0.500).

The value obtained for the formation energy is 0.18 eV per atom. The calculation puts the size of the total moment at 0.0 μB/cell.